Here is an optimized crystal structure of TmZn4Cu6 from Alexandria. Energies are from PBE-GGA.

Summary:
The formation energy is -90 kJ/mol of formula units.

a b c (Å): 6.9202 6.9202 3.9256
angles (deg): 90.00 90.00 120.00
Closest atoms and distances in Å follow each position.
Positions (direct):
Tm  0.0000  0.0000  0.0000  6 Zn 3.09, 6 Cu 3.15
Zn  0.3333  0.6667  0.0000  9 Cu 2.44-2.49
Zn  0.3981  0.1990  0.5000  6 Cu 2.43-2.52
Zn  0.8010  0.1990  0.5000  6 Cu 2.43-2.52
Zn  0.8010  0.6019  0.5000  6 Cu 2.43-2.52
Cu  0.2057  0.4114  0.5000  4 Zn 2.43-2.49, 2 Cu 2.65
Cu  0.2057  0.7943  0.5000  4 Zn 2.43-2.49, 2 Cu 2.65
Cu  0.5367  0.0734  0.0000  5 Zn 2.44-2.52, 2 Cu 2.70
Cu  0.5367  0.4633  0.0000  5 Zn 2.44-2.52, 2 Cu 2.70
Cu  0.5886  0.7943  0.5000  4 Zn 2.43-2.49, 2 Cu 2.65
Cu  0.9266  0.4633  0.0000  5 Zn 2.44-2.52, 2 Cu 2.70